A geometry-optimized MgNpIr structure, computed with PBE.

Lattice parameters (Å, degrees): 3.109 3.109 6.575 103.68 103.68 90.00
Last column: magnetic moment on the atom in μB.
Atoms (fractional coordinates):
Mg 0.028 0.028 0.055  0.00
Ir 0.662 0.662 0.324  -0.17
Np 0.310 0.310 0.621  3.74

Results
Its crystal system is tetragonal. The value obtained for the density is 12.57 g/cm3. The size of the total moment is 3.86 μB per formula unit. The calculation puts the formation energy at -0.1218 eV per atom. The total energy is -23.76 eV for the cell shown.